Record 1
The following is a SCAN calculation of a PBEsol-optimized structure of CaInBr2, from Alexandria via LeMat-Bulk.

As for the total moment: 0.0 Bohr magnetons per cell. As for the electronic total energy: -21.49 eV/atom. The mass density comes out at 4.877 g cm⁻³.

It has space group P4/mmm (No. 123), with a = 4.983 Å, b = 4.983 Å, c = 4.314 Å, α = 90.00°, β = 90.00° and γ = 90.00°. The asymmetric unit holds Ca at (0.000, 0.000, 0.000), In at (0.500, 0.500, 0.000) and Br at (0.000, 0.500, 0.500).

=====

Record 2
The following is a SCAN calculation of a PBEsol-optimized structure of Cd2AgAu, from Alexandria via LeMat-Bulk.

As for the total moment: 0.0 Bohr magnetons per cell. The calculation puts the formation energy at -0.15 eV per atom. The mass density comes out at 12.170 g cm⁻³.

It has space group Pmmm (No. 47), with a = 3.056 Å, b = 3.850 Å, c = 6.143 Å, α = 90.00°, β = 90.00° and γ = 90.00°. The asymmetric unit holds Cd at (0.000, 0.000, 0.250), Ag at (0.500, 0.500, 0.000) and Au at (0.500, 0.500, 0.500).

=====

Record 3
The following is a SCAN calculation of a PBEsol-optimized structure of ErH4Pd, from Alexandria via LeMat-Bulk.

As for the total moment: 0.0 Bohr magnetons per cell. As for the electronic total energy: -16.65 eV/atom. The mass density comes out at 8.794 g cm⁻³.

It has space group Cmcm (No. 63), with a = 3.644 Å, b = 11.731 Å, c = 4.907 Å, α = 90.00°, β = 90.00° and γ = 90.00°. The asymmetric unit holds Er at (0.000, 0.138, 0.250), H at (0.000, 0.089, 0.750), H at (0.000, 0.299, 0.528), H at (0.000, 0.500, 0.000) and Pd at (0.000, 0.401, 0.250).

=====

Record 4
The following is a SCAN calculation of a PBEsol-optimized structure of Tl2AgSb, from Alexandria via LeMat-Bulk.

As for the total moment: 0.0 Bohr magnetons per cell. As for the electronic total energy: -53.25 eV/atom. The mass density comes out at 10.655 g cm⁻³.

It has space group P4mm (No. 99), with a = 3.407 Å, b = 3.407 Å, c = 8.571 Å, α = 90.00°, β = 90.00° and γ = 90.00°. The asymmetric unit holds Tl at (0.000, 0.000, 0.000), Tl at (0.500, 0.500, 0.291), Ag at (0.500, 0.500, 0.777) and Sb at (0.000, 0.000, 0.574).

=====

Record 5
The following is a SCAN calculation of a PBEsol-optimized structure of SrAgPS2, from Alexandria via LeMat-Bulk.

As for the total moment: 3.9 Bohr magnetons per cell. As for the electronic total energy: -15.94 eV/atom. The mass density comes out at 3.004 g cm⁻³.

It has space group P4/mmm (No. 123), with a = 5.417 Å, b = 5.417 Å, c = 5.474 Å, α = 90.00°, β = 90.00° and γ = 90.00°. The asymmetric unit holds Sr at (0.000, 0.000, 0.000), Ag at (0.500, 0.500, 0.500), P at (0.000, 0.000, 0.500) and S at (0.000, 0.500, 0.000).

=====

Record 6
The following is a SCAN calculation of a PBEsol-optimized structure of Mn2AsCl, from Alexandria via LeMat-Bulk.

As for the total moment: 7.9 Bohr magnetons per cell. As for the electronic total energy: -16.44 eV/atom. The mass density comes out at 6.047 g cm⁻³.

It has space group P4/mmm (No. 123), with a = 3.072 Å, b = 3.072 Å, c = 6.407 Å, α = 90.00°, β = 90.00° and γ = 90.00°. The asymmetric unit holds Mn at (0.000, 0.000, 0.213), As at (0.500, 0.500, 0.000) and Cl at (0.500, 0.500, 0.500).

=====

Record 7
The following is a SCAN calculation of a PBEsol-optimized structure of TlSiN3, from Alexandria via LeMat-Bulk.

As for the total moment: 0.0 Bohr magnetons per cell. As for the electronic total energy: -21.19 eV/atom. The mass density comes out at 8.928 g cm⁻³.

It has space group Pm-3m (No. 221), with a = 3.710 Å, b = 3.710 Å, c = 3.710 Å, α = 90.00°, β = 90.00° and γ = 90.00°. The asymmetric unit holds Tl at (0.000, 0.000, 0.000), Si at (0.500, 0.500, 0.500) and N at (0.000, 0.500, 0.500).

=====

Record 8
The following is a SCAN calculation of a PBEsol-optimized structure of BeFeP2, from Alexandria via LeMat-Bulk.

As for the total moment: 0.9 Bohr magnetons per cell. The calculation puts the formation energy at 0.04 eV per atom. The mass density comes out at 4.852 g cm⁻³.

It has space group C2/m (No. 12), with a = 7.027 Å, b = 2.950 Å, c = 4.214 Å, α = 90.00°, β = 96.41° and γ = 90.00°. The asymmetric unit holds Be at (0.000, 0.000, 0.000), Fe at (0.000, 0.500, 0.500) and P at (0.231, 0.000, 0.735).